No. 1
# KCaB3, relaxed, DFT PBEsol
data_KCaB3
_cell_length_a 4.715
_cell_length_b 4.715
_cell_length_c 4.715
_cell_angle_alpha 90.00
_cell_angle_beta 90.00
_cell_angle_gamma 90.00
_symmetry_space_group_name_H-M 'P m -3 m'
_symmetry_Int_Tables_number 221
_symmetry_space_group_name_Hall '-P 4 2 3'
loop_
_atom_site_label
_atom_site_type_symbol
_atom_site_fract_x
_atom_site_fract_y
_atom_site_fract_z
K1 K 0.000 0.000 0.000
Ca1 Ca 0.500 0.500 0.500
B1 B 0.000 0.000 0.500
# - formation energy from the elements (eV per atom) = 2.62
# - Fermi-level density of states (states/eV/atom) = 1.139
# - E (eV per atom) = -2.2443

***

No. 2
# K2CaBMo, relaxed, DFT PBEsol
data_K2CaBMo
_cell_length_a 6.162
_cell_length_b 6.162
_cell_length_c 5.618
_cell_angle_alpha 90.00
_cell_angle_beta 90.00
_cell_angle_gamma 90.00
_symmetry_space_group_name_H-M 'P 4/m m m'
_symmetry_Int_Tables_number 123
_symmetry_space_group_name_Hall '-P 4 2'
loop_
_atom_site_label
_atom_site_type_symbol
_atom_site_fract_x
_atom_site_fract_y
_atom_site_fract_z
K1 K 0.000 0.500 0.000
Ca1 Ca 0.000 0.000 0.500
B1 B 0.500 0.500 0.500
Mo1 Mo 0.000 0.000 0.000
# - formation energy from the elements (eV per atom) = 2.21
# - Fermi-level density of states (states/eV/atom) = 1.156
# - E (eV per atom) = -2.4290

***

No. 3
# KCaRe2B, relaxed, DFT PBEsol
data_KCaRe2B
_cell_length_a 5.046
_cell_length_b 5.046
_cell_length_c 4.898
_cell_angle_alpha 90.00
_cell_angle_beta 90.00
_cell_angle_gamma 90.00
_symmetry_space_group_name_H-M 'P 4/m m m'
_symmetry_Int_Tables_number 123
_symmetry_space_group_name_Hall '-P 4 2'
loop_
_atom_site_label
_atom_site_type_symbol
_atom_site_fract_x
_atom_site_fract_y
_atom_site_fract_z
K1 K 0.000 0.000 0.000
Ca1 Ca 0.500 0.500 0.500
Re1 Re 0.000 0.500 0.500
B1 B 0.500 0.500 0.000
# - formation energy from the elements (eV per atom) = 3.16
# - Fermi-level density of states (states/eV/atom) = 0.732
# - E (eV per atom) = -4.2254

***

No. 4
# CaLaB3, relaxed, DFT PBEsol
data_CaLaB3
_cell_length_a 4.698
_cell_length_b 4.698
_cell_length_c 4.698
_cell_angle_alpha 90.00
_cell_angle_beta 90.00
_cell_angle_gamma 90.00
_symmetry_space_group_name_H-M 'P m -3 m'
_symmetry_Int_Tables_number 221
_symmetry_space_group_name_Hall '-P 4 2 3'
loop_
_atom_site_label
_atom_site_type_symbol
_atom_site_fract_x
_atom_site_fract_y
_atom_site_fract_z
Ca1 Ca 0.000 0.000 0.000
La1 La 0.500 0.500 0.500
B1 B 0.000 0.500 0.500
# - formation energy from the elements (eV per atom) = 1.65
# - Fermi-level density of states (states/eV/atom) = 0.749
# - E (eV per atom) = -4.0595

***

No. 5
# CaLa2B10O19, relaxed, DFT PBEsol
data_CaLa2B10O19
_cell_length_a 11.023
_cell_length_b 6.563
_cell_length_c 9.095
_cell_angle_alpha 90.00
_cell_angle_beta 91.55
_cell_angle_gamma 90.00
_symmetry_space_group_name_H-M 'C 1 2 1'
_symmetry_Int_Tables_number 5
loop_
_symmetry_equiv_pos_as_xyz
'x,y,z'
'-x,y,-z'
'x+1/2,y+1/2,z'
'-x+1/2,y+1/2,-z'
loop_
_atom_site_label
_atom_site_type_symbol
_atom_site_fract_x
_atom_site_fract_y
_atom_site_fract_z
Ca1 Ca 0.000 0.000 0.000
La1 La 0.162 0.814 0.642
B1 B 0.039 0.489 0.339
B2 B 0.068 0.120 0.374
B3 B 0.115 0.251 0.771
B4 B 0.173 0.799 0.292
B5 B 0.232 0.791 0.028
O1 O 0.000 0.046 0.500
O2 O 0.015 0.102 0.754
O3 O 0.071 0.690 0.367
O4 O 0.073 0.458 0.723
O5 O 0.112 0.334 0.388
O6 O 0.145 0.814 0.135
O7 O 0.148 0.256 0.928
O8 O 0.179 0.000 0.365
O9 O 0.193 0.811 0.887
O10 O 0.216 0.185 0.681
# - Fermi-level density of states (states/eV/atom) = 0.000
# - E (eV per atom) = -8.4836
# - ΔE_f (raw) (meV per atom) = -2773.4

***

No. 6
# Ca3La3B5O15, relaxed, DFT PBEsol
data_Ca3La3B5O15
_cell_length_a 10.4756
_cell_length_b 10.4756
_cell_length_c 6.3410
_cell_angle_alpha 90.00
_cell_angle_beta 90.00
_cell_angle_gamma 120.00
_symmetry_space_group_name_H-M 'P 63 m c'
_symmetry_Int_Tables_number 186
_symmetry_space_group_name_Hall 'P 6c -2c'
loop_
_atom_site_label
_atom_site_type_symbol
_atom_site_fract_x
_atom_site_fract_y
_atom_site_fract_z
Ca1 Ca 0.0540 0.5270 0.0000
La1 La 0.1564 0.3128 0.3198
B1 B 0.0000 0.0000 0.4824
B2 B 0.1977 0.3954 0.7872
B3 B 0.3333 0.6667 0.3364
O1 O 0.0708 0.3723 0.6841
O2 O 0.0761 0.1522 0.9757
O3 O 0.1796 0.5898 0.3363
O4 O 0.2263 0.4527 0.9866
# - Fermi-level density of states (states/eV/atom) = 0.000
# - E (eV per atom) = -8.2973
# - ΔE_f (raw) (meV per atom) = -3056.5

***

Among the records above, which one has the highest E? KCaB3